## Li2Co4F9 (GGA+U)

Data for Li2Co4F9 after structural relaxation.

As for the uncorrected energy: -0.180 Ha/atom.

Unit cell a=5.2661 b=5.2661 c=14.0564 alpha=90.00 beta=90.00 gamma=120.00
Fractional coordinates of all 30 atoms:
1 Li 0.0000 0.0000 0.1515
2 Li 0.0000 0.0000 0.3482
3 Li 0.0000 0.0000 0.6518
4 Li 0.0000 0.0000 0.8485
5 Co 0.3333 0.6667 0.0162
6 Co 0.3333 0.6667 0.3157
7 Co 0.3333 0.6667 0.5162
8 Co 0.3333 0.6667 0.8159
9 Co 0.6667 0.3333 0.1841
10 Co 0.6667 0.3333 0.4838
11 Co 0.6667 0.3333 0.6843
12 Co 0.6667 0.3333 0.9838
13 F 0.9996 0.3067 0.2500
14 F 0.0004 0.6933 0.7500
15 F 0.0248 0.6711 0.4149
16 F 0.0258 0.3540 0.9150
17 F 0.3071 0.0004 0.2500
18 F 0.3067 0.3071 0.7500
19 F 0.3281 0.9742 0.9150
20 F 0.3289 0.3537 0.4149
21 F 0.3537 0.0248 0.5851
22 F 0.3540 0.3281 0.0850
23 F 0.6460 0.6719 0.9150
24 F 0.6463 0.9752 0.4149
25 F 0.6711 0.6463 0.5851
26 F 0.6719 0.0258 0.0850
27 F 0.6929 0.9996 0.7500
28 F 0.6933 0.6929 0.2500
29 F 0.9742 0.6460 0.0850
30 F 0.9752 0.3289 0.5851